Computed, not measured: a geometry-optimized CeHf3N structure at the PBE level of DFT.

energy relative to the elements, uncorrected	-0.472	eV/atom
density of states at the Fermi level	1.45	states/eV/atom

Unit cell a=4.5822 b=4.5822 c=4.5822 alpha=90.00 beta=90.00 gamma=90.00
Space group Pm-3m (No. 221)
One atom of each set of equivalent atoms:
Ce 0.0000 0.0000 0.0000
Hf 0.0000 0.5000 0.5000
N 0.5000 0.5000 0.5000


Computed, not measured: a geometry-optimized LiScP structure at the PBE level of DFT.

ΔH_f (0 K)	-868	meV/atom
density of states at the Fermi level	0.67	states/eV/atom

Unit cell a=3.8921 b=3.8921 c=3.5940 alpha=90.00 beta=90.00 gamma=120.00
Space group P-6m2 (No. 187)
One atom of each set of equivalent atoms:
Li 0.0000 0.0000 0.0000
Sc 0.3333 0.6667 0.5000
P 0.6667 0.3333 0.0000


Computed, not measured: a geometry-optimized NpCo4Si2 structure at the PBE level of DFT.

energy relative to the elements, uncorrected	-0.180	eV/atom
density of states at the Fermi level	1.50	states/eV/atom

Unit cell a=3.5760 b=3.5760 c=15.3201 alpha=90.00 beta=90.00 gamma=90.00
Space group I4/mmm (No. 139)
One atom of each set of equivalent atoms:
Np 0.0000 0.0000 0.0000
Co 0.0000 0.0000 0.1416
Co 0.0000 0.5000 0.2500
Si 0.0000 0.0000 0.3517


Computed, not measured: a geometry-optimized GdSiRh structure at the PBE level of DFT.

energy relative to the elements, uncorrected	-0.922	eV/atom
density of states at the Fermi level	0.73	states/eV/atom

Unit cell a=4.1882 b=4.1882 c=3.9045 alpha=90.00 beta=90.00 gamma=120.00
Space group P-6m2 (No. 187)
One atom of each set of equivalent atoms:
Gd 0.0000 0.0000 0.0000
Si 0.3333 0.6667 0.5000
Rh 0.6667 0.3333 0.5000


Computed, not measured: a geometry-optimized SrCaCl2 structure at the PBE level of DFT.

energy relative to the elements, uncorrected	-1.224	eV/atom
energy above the lowest structure with this stoichiometry	1.86	eV per formula unit
density of states at the Fermi level	0.80	states/eV/atom

Unit cell a=7.5437 b=7.5437 c=7.5437 alpha=90.00 beta=90.00 gamma=90.00
Space group Fm-3m (No. 225)
One atom of each set of equivalent atoms:
Sr 0.0000 0.0000 0.0000
Ca 0.0000 0.0000 0.5000
Cl 0.2500 0.2500 0.2500


Computed, not measured: a geometry-optimized YMo2 structure at the PBE level of DFT.

ΔH_f (0 K)	1909	meV/atom
density of states at the Fermi level	1.56	states/eV/atom

Unit cell a=6.5413 b=6.5413 c=6.5413 alpha=90.00 beta=90.00 gamma=90.00
Space group Pa-3 (No. 205)
One atom of each set of equivalent atoms:
Y 0.0000 0.0000 0.0000
Mo 0.1011 0.6011 0.8989


Computed, not measured: a geometry-optimized ZrReSe structure at the PBE level of DFT.

energy relative to the elements, uncorrected	0.191	eV/atom
energy above the lowest structure with this stoichiometry	1.12	eV per formula unit
density of states at the Fermi level	1.35	states/eV/atom

Unit cell a=6.2159 b=6.2159 c=6.2159 alpha=90.00 beta=90.00 gamma=90.00
Space group F-43m (No. 216)
One atom of each set of equivalent atoms:
Zr 0.0000 0.0000 0.0000
Re 0.2500 0.2500 0.7500
Se 0.0000 0.0000 0.5000


Computed, not measured: a geometry-optimized K2Tm2PuO6 structure at the PBE level of DFT.

energy relative to the elements, uncorrected	-2.870	eV/atom
density of states at the Fermi level	0.14	states/eV/atom

Unit cell a=5.9401 b=10.2919 c=6.6691 alpha=90.00 beta=107.45 gamma=90.00
Space group C2/m (No. 12)
One atom of each set of equivalent atoms:
K 0.0000 0.1692 0.0000
Tm 0.0000 0.3341 0.5000
Pu 0.0000 0.0000 0.5000
O 0.2203 0.1690 0.6726
O 0.2343 0.5000 0.6714


Computed, not measured: a geometry-optimized Mn2NiRh structure at the PBE level of DFT.

ΔH_f (0 K)	24	meV/atom
density of states at the Fermi level	1.92	states/eV/atom

Unit cell a=3.6585 b=3.6585 c=3.6580 alpha=90.00 beta=90.00 gamma=90.00
Space group P4/mmm (No. 123)
One atom of each set of equivalent atoms:
Mn 0.0000 0.5000 0.0000
Ni 0.0000 0.0000 0.5000
Rh 0.5000 0.5000 0.5000


Computed, not measured: a geometry-optimized Nd2Bi structure at the PBE level of DFT.

ΔH_f (0 K)	-673	meV/atom
energy above the lowest structure with this stoichiometry	0.00	eV per formula unit
density of states at the Fermi level	1.31	states/eV/atom

Unit cell a=4.6350 b=4.6350 c=18.1465 alpha=90.00 beta=90.00 gamma=90.00
Space group I4/mmm (No. 139)
One atom of each set of equivalent atoms:
Nd 0.0000 0.0000 0.1788
Nd 0.0000 0.5000 0.0000
Bi 0.0000 0.0000 0.3609


Computed, not measured: a geometry-optimized NbAl3Os4 structure at the PBE level of DFT.

ΔH_f (0 K)	-428	meV/atom
density of states at the Fermi level	0.68	states/eV/atom

Unit cell a=4.3345 b=4.3345 c=6.1408 alpha=90.00 beta=90.00 gamma=90.00
Space group P4/mmm (No. 123)
One atom of each set of equivalent atoms:
Nb 0.0000 0.0000 0.0000
Al 0.0000 0.0000 0.5000
Al 0.5000 0.5000 0.0000
Al 0.5000 0.5000 0.5000
Os 0.0000 0.5000 0.2577


Computed, not measured: a geometry-optimized Re2CSe structure at the PBE level of DFT.

energy relative to the elements, uncorrected	1.233	eV/atom
energy above the lowest structure with this stoichiometry	2.21	eV per formula unit
density of states at the Fermi level	0.58	states/eV/atom

Unit cell a=5.8692 b=5.8692 c=5.8692 alpha=90.00 beta=90.00 gamma=90.00
Space group Fm-3m (No. 225)
One atom of each set of equivalent atoms:
Re 0.2500 0.2500 0.2500
C 0.0000 0.0000 0.0000
Se 0.0000 0.0000 0.5000